# 1
Entry from Alexandria via LeMat-Bulk: SbTe2Pt after structural relaxation (PBE-GGA).

Computed properties:
- Formation energy without anion corrections: -0.13 eV/atom
- M_tot: 0.000 μB per atom

The structure in POSCAR format:
```
SbTe2Pt
1.0
4.1524 0.0000 0.0000
-2.0762 3.5961 0.0000
0.0000 0.0000 20.8303
Sb Te Pt
3 6 3
direct
0.0000 0.0000 0.0000
0.3333 0.6667 0.6667
0.6667 0.3333 0.3333
0.0000 0.0000 0.2355
0.0000 0.0000 0.7645
0.3333 0.6667 0.4312
0.3333 0.6667 0.9021
0.6667 0.3333 0.0979
0.6667 0.3333 0.5688
0.0000 0.0000 0.5000
0.3333 0.6667 0.1667
0.6667 0.3333 0.8333
```

---

# 2
Entry from Alexandria via LeMat-Bulk: PrZn2Cd4 after structural relaxation (PBE-GGA).

Computed properties:
- Formation energy from the elements: -1.54 eV per formula unit
- M_tot: 0.000 μB per atom

The structure in POSCAR format:
```
PrZn2Cd4
1.0
4.4912 0.0000 0.0000
0.0000 15.3739 0.0000
0.0000 0.0000 4.4789
Pr Zn Cd
2 4 8
direct
0.0000 0.0000 0.0000
0.5000 0.5000 0.0000
0.0000 0.4222 0.5000
0.0000 0.5778 0.5000
0.5000 0.0778 0.5000
0.5000 0.9222 0.5000
0.0000 0.1778 0.5000
0.0000 0.3195 0.0000
0.0000 0.6805 0.0000
0.0000 0.8222 0.5000
0.5000 0.1805 0.0000
0.5000 0.3222 0.5000
0.5000 0.6778 0.5000
0.5000 0.8195 0.0000
```

---

# 3
Entry from Alexandria via LeMat-Bulk: LiNbHg after structural relaxation (PBE-GGA).

Computed properties:
- Energy above the most stable polymorph in this dataset: 1.087 eV/f.u.
- Formation energy from the elements: 1.05 eV per formula unit
- M_tot: 0.000 μB per atom

The structure in POSCAR format:
```
LiNbHg
1.0
4.7671 0.0000 0.0000
-2.3836 4.1285 0.0000
0.0000 0.0000 5.7418
Li Nb Hg
2 2 2
direct
0.0000 0.0000 0.0000
0.0000 0.0000 0.5000
0.3333 0.6667 0.2500
0.6667 0.3333 0.7500
0.3333 0.6667 0.7500
0.6667 0.3333 0.2500
```

---

# 4
Entry from Alexandria via LeMat-Bulk: LiCeCd4Ag2 after structural relaxation (PBE-GGA).

Computed properties:
- Formation energy from the elements: -1.21 eV per formula unit
- M_tot: 0.123 μB per atom

The structure in POSCAR format:
```
LiCeCd4Ag2
1.0
2.4761 1.4296 8.0968
-2.4761 1.4296 8.0968
0.0000 -2.8591 8.0968
Li Ce Cd Ag
1 1 4 2
direct
0.0000 0.0000 0.0000
0.5000 0.5000 0.5000
0.1120 0.1120 0.1120
0.3670 0.3670 0.3670
0.6330 0.6330 0.6330
0.8880 0.8880 0.8880
0.2462 0.2462 0.2462
0.7538 0.7538 0.7538
```

---

> M_tot of number 1 (SbTe2Pt)?

0.000 μB per atom